No. 1
First-principles (PBE-GGA) data for crystalline AcSc2Sb at its relaxed geometry, as listed in the Alexandria database.

```
AcSc2Sb
1.0
-4.222 -1.667 -0.806
1.753 -2.661 -3.675
0.863 -3.672 3.071
Sc Ac Sb
2 1 1
direct
0.000 0.000 0.500
0.000 0.500 0.000
0.500 0.000 0.000
0.500 0.500 0.500
```

## Properties
E above lowest polymorph in eV/f.u.: 0.00
Uncorrected formation energy in meV per atom: -345

---

No. 2
First-principles (PBE-GGA) data for crystalline AcScSb2 at its relaxed geometry, as listed in the Alexandria database.

```
AcScSb2
1.0
4.436 0.000 0.000
2.218 3.842 0.000
2.218 1.281 7.543
Sb Sc Ac
2 1 1
direct
0.263 0.263 0.210
0.070 0.070 0.790
0.669 0.669 0.993
0.498 0.498 0.507
```

## Properties
E above lowest polymorph in eV/f.u.: 0.00
Uncorrected formation energy in meV per atom: -957

---

No. 3
First-principles (PBE-GGA) data for crystalline AcScSbTe at its relaxed geometry, as listed in the Alexandria database.

```
AcScSbTe
1.0
4.625 0.000 0.000
0.000 4.625 0.000
0.000 0.000 11.549
Sc Sb Te Ac
2 2 2 2
direct
0.000 0.000 0.500
0.500 0.500 0.500
0.000 0.500 0.331
0.500 0.000 0.669
0.500 0.500 0.000
0.000 0.000 0.000
0.000 0.500 0.782
0.500 0.000 0.218
```

## Properties
Uncorrected formation energy in meV per atom: -948

---

No. 4
First-principles (PBE-GGA) data for crystalline Ac2SbSe5 at its relaxed geometry, as listed in the Alexandria database.

```
Ac2SbSe5
1.0
-1.540 -5.539 0.693
2.103 1.472 -7.757
13.340 -3.335 2.983
Ac Se Sb
4 10 2
direct
0.154 0.308 0.573
0.846 0.692 0.427
0.154 0.308 0.927
0.846 0.692 0.073
0.956 0.913 0.890
0.287 0.575 0.750
0.712 0.423 0.596
0.956 0.913 0.610
0.712 0.423 0.904
0.288 0.577 0.096
0.044 0.087 0.110
0.044 0.087 0.390
0.288 0.577 0.404
0.713 0.425 0.250
0.839 0.677 0.750
0.161 0.323 0.250
```

## Properties
E above lowest polymorph in eV/f.u.: 1.56
Uncorrected formation energy in meV per atom: -1181

---

No. 5
First-principles (PBE-GGA) data for crystalline Ac6SbSe5 at its relaxed geometry, as listed in the Alexandria database.

```
Ac6SbSe5
1.0
7.850 0.208 0.000
2.411 7.451 0.000
1.206 3.725 6.784
Ac Se Sb
6 5 1
direct
0.254 0.257 0.000
0.746 0.743 0.000
0.743 0.086 0.340
0.743 0.426 0.660
0.257 0.914 0.660
0.257 0.574 0.340
0.000 0.668 0.665
0.500 0.838 0.324
0.500 0.162 0.676
0.000 0.332 0.335
0.500 0.500 0.000
0.000 0.000 0.000
```

## Properties
Uncorrected formation energy in meV per atom: -1762

---

No. 6
First-principles (PBE-GGA) data for crystalline AcSbSe2 at its relaxed geometry, as listed in the Alexandria database.

```
AcSbSe2
1.0
-3.572 -2.478 -1.058
0.386 -3.332 -2.961
0.922 -7.656 5.356
Se Sb Ac
2 1 1
direct
0.104 0.104 0.688
0.896 0.896 0.312
0.000 0.000 0.000
0.500 0.500 0.500
```

## Properties
Uncorrected formation energy in meV per atom: -930

---

No. 7
First-principles (PBE-GGA) data for crystalline Ac2SbSe5 at its relaxed geometry, as listed in the Alexandria database.

```
Ac2SbSe5
1.0
-2.138 0.905 3.760
-3.017 -7.726 0.144
9.749 -3.687 6.429
Ac Se Sb
4 10 2
direct
0.500 0.921 0.671
0.500 0.079 0.329
0.500 0.421 0.829
0.500 0.579 0.171
0.000 0.500 0.000
0.000 0.143 0.791
0.000 0.357 0.291
0.500 0.801 0.938
0.500 0.301 0.562
0.500 0.699 0.438
0.500 0.199 0.062
0.000 0.000 0.500
0.000 0.643 0.709
0.000 0.857 0.209
0.000 0.500 0.500
0.000 0.000 0.000
```

## Properties
E above lowest polymorph in eV/f.u.: 0.00
Uncorrected formation energy in meV per atom: -1377

---

- Among the records above, which one has the lowest uncorrected formation energy?
  Ac6SbSe5

---

- Number 1 is which compound?
  AcSc2Sb

---

- The lowest uncorrected formation energy belongs to which entry?
  Ac6SbSe5